Record 1
LiZn2Ni after structural relaxation, computed with PBEsol.

It has space group Imm2 (No. 44), with a = 2.952 Å, b = 4.014 Å, c = 8.205 Å, α = 90.00°, β = 90.00° and γ = 90.00°. The asymmetric unit holds Li at (0.000, 0.000, 0.000), Zn at (0.000, 0.000, 0.487), Zn at (0.000, 0.500, 0.241) and Ni at (0.000, 0.500, 0.750).

The crystal system is orthorhombic. Its formation energy is -0.693 eV/f.u.

***

Record 2
LiZn2Ni after structural relaxation, computed with PBEsol.

It has space group Cm (No. 8), with a = 9.153 Å, b = 2.812 Å, c = 4.133 Å, α = 90.00°, β = 113.46° and γ = 90.00°. The asymmetric unit holds Li at (0.000, 0.000, 0.000), Zn at (0.013, 0.500, 0.519), Zn at (0.261, 0.500, 0.222) and Ni at (0.250, 0.000, 0.710).

The crystal system is monoclinic. Its formation energy is -0.696 eV/f.u.

***

Record 3
LiZnNi2 after structural relaxation, computed with PBEsol.

It has space group Cmmm (No. 65), with a = 5.056 Å, b = 6.925 Å, c = 2.540 Å, α = 90.00°, β = 90.00° and γ = 90.00°. The asymmetric unit holds Li at (0.000, 0.000, 0.000), Zn at (0.000, 0.500, 0.000) and Ni at (0.250, 0.250, 0.500).

The crystal system is orthorhombic. Its formation energy is -0.393 eV/f.u.